Cr2TcMo | GGA-PBEsol | relaxed

a b c (Å): 2.5944 4.1665 4.9002
angles (deg): 90.00 100.34 90.00
Positions (direct):
Cr  0.9958  0.0000  0.0051
Cr  0.7451  0.5000  0.2409
Mo  0.5023  0.0000  0.4918
Tc  0.2568  0.5000  0.7622

Values from the calculation:
Energy above the most stable polymorph in this dataset = 34.0 meV per atom